(1)
Entry from the Alexandria database: crystalline YSc8Sn6 at its relaxed geometry (PBE).

Cell lengths 8.588, 8.588, 7.909 Å; angles 57.12, 57.12, 60.00 degrees
Positions (direct):
Y 0.000 0.000 0.000
Sc 0.563 0.226 0.317
Sc 0.774 0.106 0.683
Sc 0.106 0.437 0.683
Sc 0.667 0.667 0.999
Sc 0.333 0.333 0.001
Sc 0.894 0.563 0.317
Sc 0.226 0.894 0.317
Sc 0.437 0.774 0.683
Sn 0.408 0.069 0.793
Sn 0.931 0.271 0.207
Sn 0.271 0.592 0.207
Sn 0.729 0.408 0.793
Sn 0.069 0.729 0.793
Sn 0.592 0.931 0.207

## Properties
V = 26.2 A^3/atom
ΔH_f (0 K) = -469 meV/atom

(2)
Entry from the Alexandria database: crystalline Y2Sc3Sn2 at its relaxed geometry (PBE).

Cell lengths 4.293, 6.157, 8.139 Å; angles 110.25, 90.00, 110.40 degrees
Positions (direct):
Y 0.864 0.729 0.212
Y 0.136 0.271 0.788
Sc 0.500 0.000 0.000
Sc 0.619 0.239 0.439
Sc 0.381 0.761 0.561
Sn 0.837 0.673 0.789
Sn 0.163 0.327 0.211

## Properties
V = 26.8 A^3/atom
ΔH_f (0 K) = -489 meV/atom

(3)
Entry from the Alexandria database: crystalline YScSn at its relaxed geometry (PBE).

Cell lengths 4.415, 4.415, 8.164 Å; angles 90.00, 90.00, 90.00 degrees
Positions (direct):
Y 0.000 0.500 0.846
Y 0.500 0.000 0.154
Sc 0.500 0.500 0.500
Sc 0.000 0.000 0.500
Sn 0.000 0.500 0.238
Sn 0.500 0.000 0.762

## Properties
V = 26.5 A^3/atom
ΔH_f (0 K) = -659 meV/atom
E above lowest polymorph = 0 meV per atom